No. 1
DFT (PBE) results for MgHgOs2 after structural relaxation.

Unit cell a=2.756 b=2.756 c=8.771 alpha=90.00 beta=90.00 gamma=90.00
Fractional positions:
Mg 0.500 0.500 0.750
Hg 0.500 0.500 0.250
Os 0.000 0.000 0.510
Os 0.000 0.000 0.990

Symmetry   P4/mmm (123)
Calculated formation energy   0.80 eV/atom
DFT total energy   -21.17 eV per cell
Fermi-level density of states   6.02 states/eV/f.u.

=====

No. 2
DFT (PBE) results for Pu2Pa2GaSi4 after structural relaxation.

Unit cell a=6.352 b=6.352 c=6.352 alpha=97.90 beta=115.55 gamma=115.55
Last column: magnetic moment on the atom in μB.
Fractional positions:
Si 0.506 0.753 0.753  -0.04
Pa 0.500 0.750 0.250  0.89
Pu 0.000 0.677 0.677  5.38
Si 0.000 0.753 0.247  -0.04
Pu 0.000 0.323 0.323  5.38
Si 0.000 0.247 0.753  -0.04
Pa 0.500 0.250 0.750  0.89
Ga 0.000 0.000 0.000  0.05
Si 0.494 0.247 0.247  -0.04

Formation energy (no corrections)   0.019 eV per atom
Symmetry   I4/mmm (139)
DFT total energy   -72.20 eV per cell
Fermi-level density of states   14.53 states/eV/f.u.

=====

No. 3
DFT (PBE) results for SrSnRu2 after structural relaxation.

Unit cell a=4.601 b=4.601 c=9.981 alpha=76.67 beta=76.67 gamma=90.00
Fractional positions:
Ru 0.968 0.625 0.250
Ru 0.782 0.125 0.250
Ru 0.875 0.032 0.750
Sn 0.000 0.000 0.000
Sr 0.250 0.750 0.500
Sn 0.750 0.250 0.500
Sr 0.500 0.500 0.000
Ru 0.375 0.218 0.750

Symmetry   I-42d (122)
Calculated formation energy   0.43 eV/atom
DFT total energy   -45.06 eV per cell
Fermi-level density of states   3.90 states/eV/f.u.

=====

No. 4
DFT (PBE) results for Ba2PIr after structural relaxation.

Unit cell a=5.265 b=5.265 c=5.265 alpha=60.00 beta=60.00 gamma=60.00
Fractional positions:
P 0.750 0.750 0.750
Ba 0.000 0.000 0.000
Ba 0.250 0.250 0.250
Ir 0.500 0.500 0.500

Symmetry   F-43m (216)
Calculated formation energy   0.14 eV/atom
DFT total energy   -17.56 eV per cell
Fermi-level density of states   1.38 states/eV/f.u.

=====

No. 5
DFT (PBE) results for Na2Pb2N after structural relaxation.

Unit cell a=6.822 b=6.822 c=5.558 alpha=90.00 beta=90.00 gamma=90.00
Fractional positions:
Pb 0.169 0.331 0.000
Na 0.665 0.835 0.500
Pb 0.669 0.169 0.000
Pb 0.331 0.831 0.000
N 0.000 0.000 0.000
Na 0.835 0.335 0.500
Na 0.335 0.165 0.500
Na 0.165 0.665 0.500
Pb 0.831 0.669 0.000
N 0.500 0.500 0.000

Formation energy (no corrections)   0.478 eV per atom
Symmetry   P4/mbm (127)
DFT total energy   -31.98 eV per cell
Fermi-level density of states   2.46 states/eV/f.u.

=====

No. 6
DFT (PBE) results for Ta3Cr2B4 after structural relaxation.

Unit cell a=3.117 b=4.990 c=7.210 alpha=110.21 beta=90.00 gamma=108.20
Fractional positions:
B 0.078 0.156 0.453
B 0.922 0.844 0.547
Ta 0.616 0.232 0.712
Ta 0.384 0.768 0.288
B 0.731 0.462 0.057
Ta 0.000 0.000 0.000
B 0.269 0.538 0.943
Cr 0.318 0.636 0.653
Cr 0.682 0.364 0.347

Symmetry   C2/m (12)
Calculated formation energy   -0.51 eV/atom
DFT total energy   -86.11 eV per cell
Fermi-level density of states   3.50 states/eV/f.u.

=====

No. 7
DFT (PBE) results for Tb3Tm6Sc2 after structural relaxation.

Unit cell a=4.660 b=4.660 c=16.207 alpha=98.27 beta=98.27 gamma=90.00
Fractional positions:
Tb 0.800 0.800 0.600
Sc 0.544 0.544 0.088
Tm 0.617 0.117 0.233
Tm 0.307 0.307 0.615
Sc 0.456 0.456 0.912
Tm 0.693 0.693 0.385
Tm 0.117 0.617 0.233
Tm 0.383 0.883 0.767
Tb 0.200 0.200 0.400
Tm 0.883 0.383 0.767
Tb 0.000 0.000 0.000

Symmetry   I4/mmm (139)
Calculated formation energy   0.30 eV/atom
DFT total energy   -50.09 eV per cell
Fermi-level density of states   18.73 states/eV/f.u.

=====

No. 8
DFT (PBE) results for Ga2PdI6 after structural relaxation.

Unit cell a=7.637 b=10.378 c=10.378 alpha=84.52 beta=74.10 gamma=74.10
Fractional positions:
I 0.870 0.179 0.031
I 0.535 0.317 0.408
I 0.035 0.408 0.317
Ga 0.277 0.183 0.391
I 0.810 0.888 0.357
I 0.965 0.592 0.683
I 0.370 0.031 0.179
Ga 0.723 0.817 0.609
I 0.310 0.357 0.888
I 0.690 0.643 0.112
I 0.190 0.112 0.643
Pd 0.250 0.081 0.919
Pd 0.750 0.919 0.081
Ga 0.223 0.609 0.817
I 0.465 0.683 0.592
Ga 0.777 0.391 0.183
I 0.130 0.821 0.969
I 0.630 0.969 0.821

Formation energy (no corrections)   -0.290 eV per atom
Symmetry   C2/c (15)
DFT total energy   -46.32 eV per cell
Fermi-level density of states   0.53 states/eV/f.u.

=====

No. 9
DFT (PBE) results for Li3Ac2MgGe4 after structural relaxation.

Unit cell a=4.429 b=4.429 c=11.088 alpha=90.00 beta=90.00 gamma=90.00
Fractional positions:
Ac 0.500 0.000 0.241
Ge 0.500 0.500 0.000
Li 0.500 0.000 0.877
Ac 0.000 0.500 0.759
Mg 0.500 0.500 0.500
Ge 0.000 0.500 0.355
Li 0.000 0.500 0.123
Ge 0.500 0.000 0.645
Ge 0.000 0.000 0.000
Li 0.000 0.000 0.500

Symmetry   P-4m2 (115)
Calculated formation energy   -0.56 eV/atom
DFT total energy   -39.59 eV per cell
Fermi-level density of states   3.67 states/eV/f.u.

=====

No. 10
DFT (PBE) results for LiTiAl after structural relaxation.

Unit cell a=3.835 b=3.835 c=6.692 alpha=90.00 beta=90.00 gamma=90.00
Last column: magnetic moment on the atom in μB.
Fractional positions:
Al 0.000 0.000 0.500  -0.01
Al 0.500 0.500 0.500  -0.01
Ti 0.500 0.000 0.159  1.09
Li 0.500 0.000 0.758  0.02
Ti 0.000 0.500 0.841  1.09
Li 0.000 0.500 0.242  0.02

Symmetry   P4/nmm (129)
Calculated formation energy   0.19 eV/atom
DFT total energy   -25.96 eV per cell
Fermi-level density of states   2.77 states/eV/f.u.

=====

No. 11
DFT (PBE) results for TiRh2Se after structural relaxation.

Unit cell a=5.272 b=5.272 c=7.114 alpha=68.25 beta=68.25 gamma=90.00
Fractional positions:
Ti 0.250 0.750 0.500
Ti 0.500 0.500 0.000
Se 0.000 0.000 0.000
Rh 0.124 0.625 0.250
Rh 0.375 0.374 0.750
Rh 0.875 0.876 0.750
Rh 0.626 0.125 0.250
Se 0.750 0.250 0.500

Formation energy (no corrections)   -0.067 eV per atom
Symmetry   I-42d (122)
DFT total energy   -52.70 eV per cell
Fermi-level density of states   1.81 states/eV/f.u.

=====

No. 12
DFT (PBE) results for Sc2CoBr after structural relaxation.

Unit cell a=8.144 b=8.144 c=8.144 alpha=26.71 beta=26.71 gamma=26.71
Fractional positions:
Co 0.500 0.500 0.500
Sc 0.112 0.112 0.112
Br 0.000 0.000 0.000
Sc 0.888 0.888 0.888

Formation energy (no corrections)   -0.557 eV per atom
Symmetry   R-3m (166)
DFT total energy   -23.67 eV per cell
Fermi-level density of states   0.16 states/eV/f.u.

=====

No. 13
DFT (PBE) results for RbLaClF2 after structural relaxation.

Unit cell a=4.811 b=4.811 c=5.958 alpha=90.00 beta=90.00 gamma=90.00
Last column: magnetic moment on the atom in μB.
Fractional positions:
F 0.000 0.500 0.000  0.00
Cl 0.000 0.000 0.500  -0.01
La 0.000 0.000 0.000  0.42
F 0.500 0.000 0.000  0.00
Rb 0.500 0.500 0.500  0.01

Formation energy (no corrections)   -2.701 eV per atom
Symmetry   P4/mmm (123)
DFT total energy   -24.99 eV per cell
Fermi-level density of states   4.83 states/eV/f.u.

=====

No. 14
DFT (PBE) results for K3P2Pt3 after structural relaxation.

Unit cell a=4.286 b=6.467 c=15.272 alpha=90.00 beta=90.00 gamma=109.35
Fractional positions:
Pt 0.295 0.590 0.545
K 0.945 0.889 0.107
K 0.399 0.797 0.750
K 0.055 0.111 0.607
Pt 0.713 0.426 0.750
P 0.775 0.550 0.608
Pt 0.295 0.590 0.955
K 0.601 0.203 0.250
K 0.945 0.889 0.393
P 0.225 0.450 0.392
Pt 0.287 0.574 0.250
Pt 0.705 0.410 0.045
P 0.775 0.550 0.892
K 0.055 0.111 0.893
P 0.225 0.450 0.108
Pt 0.705 0.410 0.455

Symmetry   Cmcm (63)
Calculated formation energy   -0.51 eV/atom
DFT total energy   -72.63 eV per cell
Fermi-level density of states   1.78 states/eV/f.u.

=====

No. 15
DFT (PBE) results for Sr3Hf5O12 after structural relaxation.

Unit cell a=11.745 b=11.745 c=11.745 alpha=109.47 beta=109.47 gamma=109.47
Last column: magnetic moment on the atom in μB.
Fractional positions:
O 0.380 0.394 0.069  0.00
O 0.569 0.880 0.394  0.00
Sr 0.625 0.250 0.375  0.01
O 0.987 0.380 0.311  0.00
Sr 0.125 0.250 0.875  0.01
Hf 0.125 0.375 0.250  0.09
Sr 0.750 0.875 0.625  0.01
Sr 0.875 0.750 0.125  0.01
O 0.324 0.811 0.431  0.00
O 0.013 0.620 0.689  0.00
O 0.431 0.120 0.606  0.00
O 0.689 0.569 0.176  0.00
O 0.931 0.106 0.620  0.00
Hf 0.000 0.000 0.500  0.06
Hf 0.125 0.750 0.375  0.09
O 0.811 0.324 0.931  0.00
O 0.880 0.569 0.894  0.00
O 0.689 0.120 0.013  0.00
Sr 0.625 0.375 0.750  0.01
Hf 0.000 0.500 0.500  0.06
Hf 0.500 0.000 0.500  0.06
O 0.106 0.931 0.120  0.00
O 0.676 0.487 0.606  0.00
O 0.013 0.394 0.824  0.00
Hf 0.625 0.875 0.250  0.09
O 0.487 0.811 0.880  0.00
Hf 0.250 0.875 0.125  0.09
Hf 0.500 0.500 0.500  0.06
O 0.380 0.987 0.811  0.00
O 0.311 0.880 0.987  0.00
O 0.606 0.987 0.676  0.00
O 0.106 0.176 0.487  0.00
Hf 0.000 0.500 0.000  0.06
Sr 0.750 0.375 0.125  0.01
O 0.189 0.676 0.069  0.00
Sr 0.250 0.625 0.875  0.01
O 0.880 0.311 0.487  0.00
Hf 0.250 0.375 0.625  0.09
O 0.176 0.069 0.689  0.00
O 0.324 0.513 0.394  0.00
O 0.606 0.620 0.431  0.00
O 0.069 0.894 0.380  0.00
Hf 0.375 0.250 0.125  0.09
O 0.176 0.106 0.987  0.00
O 0.569 0.689 0.676  0.00
Sr 0.250 0.125 0.375  0.01
Hf 0.875 0.625 0.750  0.09
Sr 0.875 0.125 0.250  0.01
O 0.120 0.689 0.513  0.00
O 0.811 0.487 0.380  0.00
Sr 0.375 0.625 0.250  0.01
O 0.894 0.069 0.880  0.00
Hf 0.500 0.500 0.000  0.06
Sr 0.125 0.875 0.750  0.01
O 0.189 0.513 0.620  0.00
O 0.394 0.380 0.569  0.00
Hf 0.375 0.125 0.750  0.09
O 0.120 0.431 0.106  0.00
O 0.894 0.824 0.513  0.00
Hf 0.625 0.750 0.875  0.09
O 0.620 0.606 0.931  0.00
O 0.987 0.606 0.176  0.00
O 0.824 0.894 0.013  0.00
O 0.513 0.189 0.120  0.00
Hf 0.750 0.125 0.875  0.09
O 0.931 0.824 0.811  0.00
O 0.394 0.013 0.324  0.00
O 0.311 0.431 0.824  0.00
O 0.513 0.324 0.894  0.00
O 0.431 0.311 0.324  0.00
O 0.069 0.176 0.189  0.00
Hf 0.000 0.000 0.000  0.06
O 0.620 0.013 0.189  0.00
O 0.824 0.931 0.311  0.00
Sr 0.375 0.750 0.625  0.01
O 0.676 0.189 0.569  0.00
Hf 0.500 0.000 0.000  0.06
O 0.487 0.676 0.106  0.00
Hf 0.875 0.250 0.625  0.09
Hf 0.750 0.625 0.375  0.09

Formation energy (no corrections)   -3.161 eV per atom
Symmetry   Ia-3d (230)
DFT total energy   -710.10 eV per cell
Fermi-level density of states   7.58 states/eV/f.u.

=====

No. 16
DFT (PBE) results for BRhC after structural relaxation.

Unit cell a=2.891 b=2.955 c=7.439 alpha=90.00 beta=92.16 gamma=90.00
Fractional positions:
Rh 0.016 0.500 0.801
B 0.594 0.500 0.149
C 0.090 0.500 0.091
B 0.594 0.000 0.649
Rh 0.016 0.000 0.301
C 0.090 0.000 0.591

Symmetry   Cm (8)
Calculated formation energy   0.36 eV/atom
DFT total energy   -44.34 eV per cell
Fermi-level density of states   1.01 states/eV/f.u.

=====

No. 17
DFT (PBE) results for ReIr2Pt after structural relaxation.

Unit cell a=4.765 b=4.765 c=4.765 alpha=131.60 beta=131.60 gamma=70.87
Fractional positions:
Re 0.250 0.750 0.500
Ir 0.500 0.500 0.000
Pt 0.750 0.250 0.500
Ir 0.000 0.000 0.000

Symmetry   I4/mmm (139)
Calculated formation energy   -0.06 eV/atom
DFT total energy   -36.45 eV per cell
Fermi-level density of states   4.95 states/eV/f.u.

=====

No. 18
DFT (PBE) results for RbCdSnRh2 after structural relaxation.

Unit cell a=5.086 b=5.565 c=5.086 alpha=90.00 beta=90.00 gamma=90.00
Fractional positions:
Sn 0.500 0.500 0.500
Cd 0.000 0.000 0.000
Rh 0.000 0.000 0.500
Rh 0.500 0.000 0.000
Rb 0.000 0.500 0.000

Symmetry   P4/mmm (123)
Calculated formation energy   1.09 eV/atom
DFT total energy   -15.13 eV per cell
Fermi-level density of states   4.00 states/eV/f.u.

=====

No. 19
DFT (PBE) results for PmZr2Ti after structural relaxation.

Unit cell a=3.642 b=3.642 c=7.291 alpha=90.00 beta=90.00 gamma=90.00
Fractional positions:
Ti 0.500 0.500 0.000
Zr 0.000 0.000 0.200
Pm 0.500 0.500 0.500
Zr 0.000 0.000 0.800

Symmetry   P4/mmm (123)
Calculated formation energy   0.15 eV/atom
DFT total energy   -29.14 eV per cell
Fermi-level density of states   5.92 states/eV/f.u.

=====

No. 20
DFT (PBE) results for Pr3SmHo6Er2 after structural relaxation.

Unit cell a=6.203 b=6.203 c=11.812 alpha=95.01 beta=95.01 gamma=119.98
Fractional positions:
Ho 0.918 0.584 0.754
Ho 0.416 0.082 0.246
Er 0.667 0.333 0.000
Pr 0.167 0.833 0.500
Pr 0.833 0.167 0.500
Pr 0.500 0.500 0.500
Ho 0.584 0.918 0.754
Ho 0.252 0.252 0.754
Sm 0.000 0.000 0.000
Ho 0.082 0.416 0.246
Er 0.333 0.667 0.000
Ho 0.748 0.748 0.246

Symmetry   C2/m (12)
Calculated formation energy   0.02 eV/atom
DFT total energy   -55.40 eV per cell
Fermi-level density of states   15.48 states/eV/f.u.

=====

No. 21
DFT (PBE) results for CsNaReO4 after structural relaxation.

Unit cell a=6.480 b=6.480 c=6.228 alpha=121.35 beta=121.35 gamma=90.00
Last column: magnetic moment on the atom in μB.
Fractional positions:
Re 0.250 0.750 0.500  0.56
O 0.240 0.070 0.696  0.06
O 0.456 0.625 0.696  0.06
Na 0.500 0.500 0.000  0.00
Cs 0.000 0.000 0.000  0.01
O 0.375 0.760 0.304  0.06
O 0.930 0.544 0.304  0.06

Formation energy (no corrections)   -1.709 eV per atom
Symmetry   I-4 (82)
DFT total energy   -46.42 eV per cell